No. 1
! BaTcAsRh2, relaxed, DFT PBE; values from VASP
&SYSTEM
  ibrav = 0, nat = 5, ntyp = 4
/
ATOMIC_SPECIES
Tc 98.00 Tc.upf
Rh 102.91 Rh.upf
Ba 137.33 Ba.upf
As 74.92 As.upf
ATOMIC_POSITIONS crystal
Tc 0.000 0.500 0.000
Rh 0.000 0.000 0.500
Rh 0.500 0.000 0.000
Ba 0.000 0.000 0.000
As 0.500 0.500 0.500
CELL_PARAMETERS angstrom
5.022 0.000 0.000
0.000 5.292 0.000
0.000 0.000 5.022
! Space-group type: P4/mmm (123)
! Crystal system: tetragonal
! VASP energy, eV per atom: -4.089
! Total moment, μB per cell: 2.965

---

No. 2
! Ba2TlAsRh, relaxed, DFT PBE; values from VASP
&SYSTEM
  ibrav = 0, nat = 5, ntyp = 4
/
ATOMIC_SPECIES
Tl 204.38 Tl.upf
Ba 137.33 Ba.upf
Rh 102.91 Rh.upf
As 74.92 As.upf
ATOMIC_POSITIONS crystal
Tl 0.500 0.500 0.500
Ba 0.500 0.000 0.000
Ba 0.000 0.500 0.000
Rh 0.000 0.000 0.000
As 0.000 0.000 0.500
CELL_PARAMETERS angstrom
6.149 0.000 0.000
0.000 6.149 0.000
0.000 0.000 4.678
! Space-group type: P4/mmm (123)
! Crystal system: tetragonal
! VASP energy, eV per atom: -4.086
! Total moment, μB per cell: 0.000

---

No. 3
! BaAsRu2, relaxed, DFT PBE; values from VASP
&SYSTEM
  ibrav = 0, nat = 4, ntyp = 3
/
ATOMIC_SPECIES
Ba 137.33 Ba.upf
As 74.92 As.upf
Ru 101.07 Ru.upf
ATOMIC_POSITIONS crystal
Ba 0.500 0.500 0.750
As 0.500 0.500 0.250
Ru 0.000 0.000 0.425
Ru 0.000 0.000 0.075
CELL_PARAMETERS angstrom
3.172 0.019 0.000
-0.019 3.172 0.000
0.000 0.000 7.736
! Space-group type: P4/mmm (123)
! Crystal system: tetragonal
! VASP energy, eV per atom: -5.892
! Total moment, μB per cell: 0.415

---

Which value of total moment does entry 2 give? 0.000 μB per cell